## MgAsSe2Br (PBE)

Data for a relaxed structure of MgAsSe2Br.

Properties
- VASP energy: -11.15 eV per cell
- Formation energy without anion corrections: 0.7481 eV per atom
- D(E_F): 8.05 states/eV/f.u.
- Energy above the most stable polymorph in this dataset: 0.711 eV/atom

Geometry as CIF:
```
data_MgAsSe2Br
_chemical_formula_sum 'Mg1 As1 Se2 Br1'
_cell_length_a 5.1246
_cell_length_b 5.1246
_cell_length_c 5.2003
_cell_angle_alpha 90.00
_cell_angle_beta 90.00
_cell_angle_gamma 90.00
_symmetry_space_group_name_H-M 'P 1'
_symmetry_Int_Tables_number 1
loop_
_symmetry_equiv_pos_as_xyz
'x,y,z'
loop_
_atom_site_label
_atom_site_type_symbol
_atom_site_fract_x
_atom_site_fract_y
_atom_site_fract_z
Se1 Se 0.5000 0.0000 0.0000
Se2 Se 0.0000 0.5000 0.0000
Mg1 Mg 0.5000 0.5000 0.5000
As1 As 0.0000 0.0000 0.5000
Br1 Br 0.0000 0.0000 0.0000
```